This record from OQMD describes LaCdPd after structural relaxation. The functional is PBE.

Lattice parameters (Å, degrees): 7.332 7.332 4.666 90.00 90.00 120.00
Sites, in units of the cell vectors:
La (0.000, 0.562, 0.000)
La (0.438, 0.438, 0.000)
La (0.562, 0.000, 0.000)
Cd (0.000, 0.000, 0.000)
Cd (0.333, 0.667, 0.500)
Cd (0.667, 0.333, 0.500)
Pd (0.000, 0.234, 0.500)
Pd (0.234, 0.000, 0.500)
Pd (0.766, 0.766, 0.500)

**DFT total energy**: -4.111 eV/atom
**Total magnetic moment**: 0.080 μB per cell